DFT (GGA-PBE) results for a relaxed Na3MgCo crystal.

The structure belongs to space group Pm-3m (No. 221); the cell edges are 5.7783, 5.7783 and 5.7783 Å and the angles 90.00°, 90.00° and 90.00°. Symmetry generates all atoms from Na at (0.0000, 0.0000, 0.5000), Mg at (0.0000, 0.0000, 0.0000) and Co at (0.5000, 0.5000, 0.5000).

***

DFT (GGA-PBE) results for a relaxed NaMgCo3 crystal.

The structure belongs to space group Pm-3m (No. 221); the cell edges are 4.4295, 4.4295 and 4.4295 Å and the angles 90.00°, 90.00° and 90.00°. Symmetry generates all atoms from Na at (0.0000, 0.0000, 0.0000), Mg at (0.5000, 0.5000, 0.5000) and Co at (0.0000, 0.0000, 0.5000).

***

DFT (GGA-PBE) results for a relaxed NaMg14Co crystal.

The structure belongs to space group P-6m2 (No. 187); the cell edges are 6.3238, 6.3238 and 10.1574 Å and the angles 90.00°, 90.00° and 120.00°. Symmetry generates all atoms from Na at (0.0000, 0.0000, 0.0000), Mg at (0.0059, 0.5029, 0.0000), Mg at (0.1618, 0.3236, 0.2680), Mg at (0.5033, 0.0067, 0.5000), Mg at (0.6667, 0.3333, 0.2437) and Co at (0.0000, 0.0000, 0.5000).

***

DFT (GGA-PBE) results for a relaxed Na3MgCo crystal.

The structure belongs to space group Pm-3m (No. 221); the cell edges are 5.3864, 5.3864 and 5.3864 Å and the angles 90.00°, 90.00° and 90.00°. Symmetry generates all atoms from Na at (0.0000, 0.0000, 0.5000), Mg at (0.5000, 0.5000, 0.5000) and Co at (0.0000, 0.0000, 0.0000).

***

DFT (GGA-PBE) results for a relaxed NaMg6Co crystal.

The structure belongs to space group Cmmm (No. 65); the cell edges are 10.2352, 10.3032 and 3.2451 Å and the angles 90.00°, 90.00° and 90.00°. Symmetry generates all atoms from Na at (0.0000, 0.0000, 0.0000), Mg at (0.0000, 0.2949, 0.5000), Mg at (0.2056, 0.5000, 0.5000), Mg at (0.2500, 0.2500, 0.0000) and Co at (0.0000, 0.5000, 0.0000).

***

DFT (GGA-PBE) results for a relaxed NaMg6Co crystal.

The structure belongs to space group Amm2 (No. 38); the cell edges are 4.9308, 6.3721 and 10.9061 Å and the angles 90.00°, 90.00° and 90.00°. Symmetry generates all atoms from Na at (0.0000, 0.0000, 0.0000), Mg at (0.0000, 0.0000, 0.5048), Mg at (0.0000, 0.2315, 0.7611), Mg at (0.5000, 0.0000, 0.3331), Mg at (0.5000, 0.2433, 0.5898) and Co at (0.5000, 0.0000, 0.8015).

***

| no. | Fermi-level density of states (states/eV per cell) | energy relative to the elements (eV/atom) | offset from the most stable computed form (meV per atom) |
| --- | --- | --- | --- |
| 1 | 14.52 | 1.079 | 242 |
| 2 | 13.64 | 1.667 | 270 |
| 3 | 8.26 | 0.082 | 0 |
| 4 | 11.19 | 0.836 | 0 |
| 5 | 6.22 | 0.077 | 0 |
| 6 | 13.63 | 0.202 | 125 |